[1]
# PBE TlCr4Pt, relaxed
# DFT formation energy: 2.30 eV per formula unit
# N(E_F): 6.92 states/eV/f.u.
data_TlCr4Pt
_cell_length_a 6.9469
_cell_length_b 6.9469
_cell_length_c 6.9469
_cell_angle_alpha 90.00
_cell_angle_beta 90.00
_cell_angle_gamma 90.00
_space_group_name_H-M_alt 'F -4 3 m'
_space_group_IT_number 216
_space_group_name_Hall 'F -4 2 3'
loop_
_atom_site_label
_atom_site_type_symbol
_atom_site_fract_x
_atom_site_fract_y
_atom_site_fract_z
_atom_site_occupancy
Tl1 Tl 0.0000 0.0000 0.0000 1
Cr1 Cr 0.1262 0.1262 0.3738 1
Pt1 Pt 0.2500 0.2500 0.7500 1

---

[2]
# PBE ScSiAs, relaxed
# N(E_F): 2.16 states/eV/f.u.
# Formation energy from raw total energies: -0.067 eV/atom
data_ScSiAs
_cell_length_a 6.3581
_cell_length_b 6.3581
_cell_length_c 6.3581
_cell_angle_alpha 90.00
_cell_angle_beta 90.00
_cell_angle_gamma 90.00
_space_group_name_H-M_alt 'F -4 3 m'
_space_group_IT_number 216
_space_group_name_Hall 'F -4 2 3'
loop_
_atom_site_label
_atom_site_type_symbol
_atom_site_fract_x
_atom_site_fract_y
_atom_site_fract_z
_atom_site_occupancy
Sc1 Sc 0.0000 0.0000 0.0000 1
Si1 Si 0.2500 0.2500 0.2500 1
As1 As 0.0000 0.0000 0.5000 1

---

[3]
# PBE CaY2ScC, relaxed
# DFT formation energy: -0.15 eV per formula unit
# N(E_F): 6.64 states/eV/f.u.
data_CaY2ScC
_cell_length_a 5.1570
_cell_length_b 5.1570
_cell_length_c 4.7209
_cell_angle_alpha 90.00
_cell_angle_beta 90.00
_cell_angle_gamma 90.00
_space_group_name_H-M_alt 'P 4/m m m'
_space_group_IT_number 123
_space_group_name_Hall '-P 4 2'
loop_
_atom_site_label
_atom_site_type_symbol
_atom_site_fract_x
_atom_site_fract_y
_atom_site_fract_z
_atom_site_occupancy
Ca1 Ca 0.0000 0.0000 0.0000 1
Y1 Y 0.0000 0.5000 0.5000 1
Sc1 Sc 0.5000 0.5000 0.0000 1
C1 C 0.5000 0.5000 0.5000 1

---

[4]
# PBE Co2MoH, relaxed
# Energy above the lowest structure with this stoichiometry: 0.577 eV/atom
# N(E_F): 4.25 states/eV/f.u.
data_Co2MoH
_cell_length_a 5.5717
_cell_length_b 5.5717
_cell_length_c 5.5717
_cell_angle_alpha 90.00
_cell_angle_beta 90.00
_cell_angle_gamma 90.00
_space_group_name_H-M_alt 'F m -3 m'
_space_group_IT_number 225
_space_group_name_Hall '-F 4 2 3'
loop_
_atom_site_label
_atom_site_type_symbol
_atom_site_fract_x
_atom_site_fract_y
_atom_site_fract_z
_atom_site_occupancy
Co1 Co 0.2500 0.2500 0.2500 1
Mo1 Mo 0.0000 0.0000 0.0000 1
H1 H 0.0000 0.0000 0.5000 1

---

[5]
# PBE CeTmBiSe, relaxed
# N(E_F): 6.92 states/eV/f.u.
# Formation energy from raw total energies: -1.143 eV/atom
data_CeTmBiSe
_cell_length_a 4.1888
_cell_length_b 4.1888
_cell_length_c 23.0014
_cell_angle_alpha 90.00
_cell_angle_beta 90.00
_cell_angle_gamma 120.00
_space_group_name_H-M_alt 'R 3 m'
_space_group_IT_number 160
_space_group_name_Hall 'R 3 -2"'
loop_
_atom_site_label
_atom_site_type_symbol
_atom_site_fract_x
_atom_site_fract_y
_atom_site_fract_z
_atom_site_occupancy
Ce1 Ce 0.0000 0.0000 0.0000 1
Tm1 Tm 0.0000 0.0000 0.8391 1
Bi1 Bi 0.0000 0.0000 0.4248 1
Se1 Se 0.0000 0.0000 0.2461 1

---

[6]
# PBE AsRu2WI, relaxed
# N(E_F): 6.21 states/eV/f.u.
# Formation energy from raw total energies: 2.455 eV/atom
data_AsRu2WI
_cell_length_a 4.7510
_cell_length_b 4.7510
_cell_length_c 5.2733
_cell_angle_alpha 90.00
_cell_angle_beta 90.00
_cell_angle_gamma 90.00
_space_group_name_H-M_alt 'P 4/m m m'
_space_group_IT_number 123
_space_group_name_Hall '-P 4 2'
loop_
_atom_site_label
_atom_site_type_symbol
_atom_site_fract_x
_atom_site_fract_y
_atom_site_fract_z
_atom_site_occupancy
As1 As 0.0000 0.0000 0.0000 1
Ru1 Ru 0.0000 0.5000 0.5000 1
W1 W 0.5000 0.5000 0.0000 1
I1 I 0.0000 0.0000 0.5000 1

---

Repeat the third record exactly.
# PBE CaY2ScC, relaxed
# DFT formation energy: -0.15 eV per formula unit
# N(E_F): 6.64 states/eV/f.u.
data_CaY2ScC
_cell_length_a 5.1570
_cell_length_b 5.1570
_cell_length_c 4.7209
_cell_angle_alpha 90.00
_cell_angle_beta 90.00
_cell_angle_gamma 90.00
_space_group_name_H-M_alt 'P 4/m m m'
_space_group_IT_number 123
_space_group_name_Hall '-P 4 2'
loop_
_atom_site_label
_atom_site_type_symbol
_atom_site_fract_x
_atom_site_fract_y
_atom_site_fract_z
_atom_site_occupancy
Ca1 Ca 0.0000 0.0000 0.0000 1
Y1 Y 0.0000 0.5000 0.5000 1
Sc1 Sc 0.5000 0.5000 0.0000 1
C1 C 0.5000 0.5000 0.5000 1